A relaxed CeNpIn crystal, computed with GGA-PBE.

- Fermi-level density of states (states/eV per atom) = 2.434
- VASP energy (eV/f.u.) = -21.4
- V (Å³/atom) = 25.55
- M_tot (μB/cell) = 4.8
- formation energy from the elements (eV/atom) = 0.055

```
data_CeNpIn
_chemical_formula_sum 'Ce2 Np2 In2'
_space_group_name_H-M_alt 'P 1 21/m 1'
_space_group_IT_number 11
_cell_length_a 5.472
_cell_length_b 3.559
_cell_length_c 7.961
_cell_angle_alpha 90.00
_cell_angle_beta 98.57
_cell_angle_gamma 90.00
loop_
_space_group_symop_operation_xyz
'x,y,z'
'-x,-y,-z'
'-x,y+1/2,-z'
'x,-y+1/2,z'
loop_
_atom_site_label
_atom_site_type_symbol
_atom_site_fract_x
_atom_site_fract_y
_atom_site_fract_z
Ce1 Ce 0.067 0.250 0.188
Np1 Np 0.350 0.750 0.505
In1 In 0.436 0.250 0.849
```